Density functional theory data (PBE) for a geometry-optimized Zr2CuPt structure.

Structure (extended XYZ):
```
4
Lattice="5.0102 -1.6185 0.0000 5.0102 1.6185 0.0000 -1.3089 0.0000 4.5367" Properties=species:S:1:pos:R:3 pbc="T T T"
Zr 0.0000 0.0000 0.0000
Zr 1.4158 0.0000 3.0234
Cu 4.1215 0.0000 2.1963
Pt 7.3402 0.0000 0.9342
```

Formation energy from the elements in eV/atom: -0.449
Total magnetization in μB/f.u.: 0.0
Energy in eV per atom: -7.26